Tb2CePrHo5, relaxed, DFT GGA-PBE; crystal system = orthorhombic; E_form = 176 meV per atom
1.0
-1.745 2.702 -4.693
4.072 -9.694 -3.645
-8.667 -3.989 0.926
Ho Tb Pr Ce
10 4 2 2
Cartesian
-2.814 -0.101 -2.460 Ho
-6.622 -5.905 -4.386 Ho
-4.871 -2.561 -3.112 Ho
-0.058 -0.264 -0.130 Ho
2.184 -6.739 -4.691 Ho
-3.440 -10.841 -4.961 Ho
-1.221 -5.768 -2.866 Ho
-1.540 -2.727 -4.446 Ho
-4.260 -8.006 -3.024 Ho
-2.220 -8.848 -7.716 Ho
-2.063 -3.163 -1.054 Tb
-0.316 -5.460 -6.474 Tb
-5.184 -5.135 -1.028 Tb
-5.513 -8.386 -6.226 Tb
-1.086 -8.411 -4.438 Pr
-8.249 -3.949 -2.655 Pr
-3.470 -5.787 -5.490 Ce
1.062 -3.385 -2.343 Ce

***

NaTmSn, relaxed, DFT GGA-PBE; energy above the lowest structure with this stoichiometry = 0.0244 eV per atom; crystal system = trigonal; E_form = -230 meV per atom
1.0
5.088 0.000 0.000
2.544 4.406 0.000
2.544 1.469 8.806
Na Sn Tm
2 2 2
Cartesian
2.544 1.469 5.402 Na
7.631 4.406 3.403 Na
5.088 2.937 6.787 Sn
5.088 2.937 2.018 Sn
2.544 1.469 1.118 Tm
7.631 4.406 7.688 Tm

***

PrSmY2, relaxed, DFT GGA-PBE; energy above the lowest structure with this stoichiometry = 0.0885 eV per atom; crystal system = cubic; E_form = 105 meV per atom
1.0
5.766 0.000 0.000
2.883 4.994 0.000
2.883 1.665 4.708
Sm Y Pr
1 2 1
Cartesian
5.766 3.329 2.354 Sm
8.649 4.994 3.531 Y
2.883 1.665 1.177 Y
0.000 0.000 0.000 Pr

***

Hf3InGa, relaxed, DFT GGA-PBE; energy above the lowest structure with this stoichiometry = 0.4361 eV per atom; crystal system = cubic; E_form = 340 meV per atom
1.0
-0.291 2.698 4.142
-4.389 1.767 -1.460
-2.274 -3.757 2.288
Hf Ga In
3 1 1
Cartesian
-0.146 1.349 2.071 Hf
-2.195 0.884 -0.730 Hf
-1.137 -1.879 1.144 Hf
0.000 0.000 0.000 Ga
-3.477 0.354 2.485 In

***

AcGd2Y, relaxed, DFT GGA-PBE; energy above the lowest structure with this stoichiometry = 0.0000 eV per atom; crystal system = tetragonal; E_form = 43 meV per atom
1.0
-2.543 -3.163 -3.268
4.419 -2.590 -0.933
-1.058 -3.227 3.946
Y Ac Gd
1 1 2
Cartesian
-1.271 -1.581 -1.634 Y
0.409 -4.490 -0.127 Ac
-0.529 -1.613 1.973 Gd
2.210 -1.295 -0.466 Gd

***

AgGeP3, relaxed, DFT GGA-PBE; energy above the lowest structure with this stoichiometry = 0.0000 eV per atom; crystal system = cubic; E_form = 1055 meV per atom
1.0
4.717 0.000 0.000
0.000 4.717 0.000
0.000 0.000 4.717
P Ag Ge
3 1 1
Cartesian
0.000 0.000 2.358 P
2.358 0.000 0.000 P
0.000 2.358 0.000 P
2.358 2.358 2.358 Ag
0.000 0.000 0.000 Ge

***

KCdInAu, relaxed, DFT GGA-PBE; energy above the lowest structure with this stoichiometry = 0.0000 eV per atom; crystal system = trigonal; E_form = -216 meV per atom
1.0
4.855 0.000 0.000
2.427 4.204 0.000
2.427 1.401 6.185
In Au Cd K
1 1 1 1
Cartesian
2.427 1.401 5.993 In
4.855 2.803 0.795 Au
2.427 1.401 0.996 Cd
7.282 4.204 3.486 K

***

ScCrI2, relaxed, DFT GGA-PBE; energy above the lowest structure with this stoichiometry = 0.0751 eV per atom; crystal system = tetragonal
1.0
5.397 0.000 0.000
0.000 5.397 0.000
2.699 2.699 8.537
Sc I Cr
2 4 2
Cartesian
2.699 2.699 0.000 Sc
2.699 5.397 4.269 Sc
1.292 4.048 2.134 I
6.747 6.804 6.403 I
4.105 1.349 2.134 I
4.048 3.991 6.403 I
5.397 2.699 4.269 Cr
0.000 0.000 0.000 Cr

***

PuTiSi2, relaxed, DFT GGA-PBE; energy above the lowest structure with this stoichiometry = 0.0000 eV per atom; crystal system = tetragonal
1.0
3.396 0.000 0.000
0.000 3.396 0.000
0.000 0.000 6.121
Ti Si Pu
1 2 1
Cartesian
1.698 1.698 0.000 Ti
0.000 0.000 1.206 Si
0.000 0.000 4.916 Si
1.698 1.698 3.061 Pu

***

CePmTe2, relaxed, DFT GGA-PBE; energy above the lowest structure with this stoichiometry = 0.0295 eV per atom; crystal system = trigonal
1.0
-0.524 4.081 -1.337
-1.673 2.957 2.680
6.532 4.122 3.021
Te Ce Pm
2 1 1
Cartesian
1.089 2.791 1.093 Te
4.713 3.678 2.377 Te
4.986 8.794 3.887 Ce
2.247 5.600 2.210 Pm

***

PuSi2W, relaxed, DFT GGA-PBE; energy above the lowest structure with this stoichiometry = 0.0000 eV per atom; crystal system = tetragonal
1.0
-0.583 3.142 0.525
-1.353 -0.727 2.851
5.827 0.594 2.916
Pu W Si
1 1 2
Cartesian
1.946 1.505 3.146 Pu
-0.968 1.207 1.688 W
4.684 0.478 2.344 Si
1.143 0.117 0.572 Si

***

no.,size of the total moment (μB per atom),DOS at the Fermi energy (states/eV/f.u.)
1,0.09,16.2
2,0.00,0.5
3,0.00,7.7
4,0.00,3.7
5,3.75,6.9
6,0.00,4.2
7,0.00,1.3
8,0.77,7.2
9,1.41,8.8
10,0.29,7.5
11,1.32,7.6